# 1
VASP calculation (PBE-GGA) on a geometry-optimized Ca2Ga5Pd2Rh structure.

Cell lengths 9.806, 9.806, 3.848 Å; angles 90.00, 90.00, 90.00 degrees
Sites, in units of the cell vectors:
Ca 0.183 0.317 0.000
Ca 0.317 0.817 0.000
Ca 0.683 0.183 0.000
Ca 0.817 0.683 0.000
Ga 0.000 0.500 0.500
Ga 0.050 0.810 0.500
Ga 0.190 0.050 0.500
Ga 0.310 0.550 0.500
Ga 0.450 0.310 0.500
Ga 0.500 0.000 0.500
Ga 0.550 0.690 0.500
Ga 0.690 0.450 0.500
Ga 0.810 0.950 0.500
Ga 0.950 0.190 0.500
Pd 0.117 0.617 0.000
Pd 0.383 0.117 0.000
Pd 0.617 0.883 0.000
Pd 0.883 0.383 0.000
Rh 0.000 0.000 0.000
Rh 0.500 0.500 0.000

Results
For the formation energy, the calculation gives -495 kJ/mol of formula units. The calculation puts the spin magnetization at 0.00 μB/f.u.

---

# 2
VASP calculation (PBE-GGA) on a geometry-optimized CaGaPdRh structure.

Cell lengths 4.584, 4.584, 4.584 Å; angles 60.00, 60.00, 60.00 degrees
Sites, in units of the cell vectors:
Ca 0.000 0.000 0.000
Ga 0.500 0.500 0.500
Pd 0.250 0.250 0.250
Rh 0.750 0.750 0.750

Results
For the formation energy, the calculation gives -210 kJ/mol of formula units. The calculation puts the spin magnetization at 0.00 μB/f.u.

---

# 3
VASP calculation (PBE-GGA) on a geometry-optimized Ca2Ga6PdRh structure.

Cell lengths 6.805, 6.805, 6.805 Å; angles 60.00, 60.00, 60.00 degrees
Sites, in units of the cell vectors:
Ca 0.250 0.250 0.250
Ca 0.750 0.750 0.750
Ga 0.249 0.249 0.751
Ga 0.249 0.751 0.249
Ga 0.249 0.751 0.751
Ga 0.751 0.249 0.249
Ga 0.751 0.249 0.751
Ga 0.751 0.751 0.249
Pd 0.500 0.500 0.500
Rh 0.000 0.000 0.000

Results
For the formation energy, the calculation gives -307 kJ/mol of formula units. The calculation puts the spin magnetization at 0.00 μB/f.u.

---

# 4
VASP calculation (PBE-GGA) on a geometry-optimized Ca2Ga5PdRu2 structure.

Cell lengths 10.670, 10.670, 3.171 Å; angles 90.00, 90.00, 90.00 degrees
Sites, in units of the cell vectors:
Ca 0.181 0.319 0.000
Ca 0.319 0.819 0.000
Ca 0.681 0.181 0.000
Ca 0.819 0.681 0.000
Ga 0.000 0.500 0.500
Ga 0.057 0.808 0.500
Ga 0.192 0.057 0.500
Ga 0.308 0.557 0.500
Ga 0.443 0.308 0.500
Ga 0.500 0.000 0.500
Ga 0.557 0.692 0.500
Ga 0.692 0.443 0.500
Ga 0.808 0.943 0.500
Ga 0.943 0.192 0.500
Pd 0.000 0.000 0.000
Pd 0.500 0.500 0.000
Ru 0.129 0.629 0.000
Ru 0.371 0.129 0.000
Ru 0.629 0.871 0.000
Ru 0.871 0.371 0.000

Results
For the formation energy, the calculation gives -351 kJ/mol of formula units. The calculation puts the spin magnetization at 0.00 μB/f.u.

---

# 5
VASP calculation (PBE-GGA) on a geometry-optimized CaGaPd2S structure.

Cell lengths 4.547, 4.547, 5.929 Å; angles 90.00, 90.00, 90.00 degrees
Sites, in units of the cell vectors:
Ca 0.000 0.000 0.000
Ga 0.000 0.000 0.500
Pd 0.000 0.500 0.500
Pd 0.500 0.000 0.500
S 0.500 0.500 0.000

Results
The uncorrected formation energy is -97.3 meV/atom. The calculation puts the spin magnetization at 0.00 μB/f.u.

---

# 6
VASP calculation (PBE-GGA) on a geometry-optimized Ca2GaSb3Pd4 structure.

Cell lengths 4.485, 4.485, 10.924 Å; angles 90.00, 90.00, 90.00 degrees
Sites, in units of the cell vectors:
Ca 0.000 0.500 0.245
Ca 0.500 0.000 0.755
Ga 0.000 0.000 0.500
Sb 0.000 0.500 0.866
Sb 0.500 0.000 0.134
Sb 0.500 0.500 0.500
Pd 0.000 0.000 0.000
Pd 0.000 0.500 0.628
Pd 0.500 0.000 0.372
Pd 0.500 0.500 0.000

Results
The uncorrected formation energy is -725.4 meV/atom. The calculation puts the spin magnetization at 0.00 μB/f.u.

---

# 7
VASP calculation (PBE-GGA) on a geometry-optimized Ca3Ga2SbPd9 structure.

Cell lengths 5.722, 5.722, 11.579 Å; angles 90.00, 90.00, 120.00 degrees
Sites, in units of the cell vectors:
Ca 0.000 0.000 0.000
Ca 0.333 0.667 0.761
Ca 0.667 0.333 0.239
Ga 0.333 0.667 0.162
Ga 0.667 0.333 0.838
Sb 0.000 0.000 0.500
Pd 0.000 0.500 0.000
Pd 0.168 0.337 0.326
Pd 0.168 0.832 0.326
Pd 0.337 0.168 0.674
Pd 0.500 0.000 0.000
Pd 0.500 0.500 0.000
Pd 0.663 0.832 0.326
Pd 0.832 0.168 0.674
Pd 0.832 0.663 0.674

Results
The uncorrected formation energy is -517.5 meV/atom. The calculation puts the spin magnetization at 0.00 μB/f.u.

---

# 8
VASP calculation (PBE-GGA) on a geometry-optimized Ca2GaSbPd6 structure.

Cell lengths 6.491, 6.491, 7.788 Å; angles 125.59, 125.59, 50.80 degrees
Sites, in units of the cell vectors:
Ca 0.002 0.002 0.254
Ca 0.998 0.998 0.746
Ga 0.500 0.500 0.500
Sb 0.500 0.500 0.000
Pd 0.009 0.502 0.197
Pd 0.318 0.318 0.563
Pd 0.498 0.991 0.803
Pd 0.502 0.009 0.197
Pd 0.682 0.682 0.437
Pd 0.991 0.498 0.803

Results
The uncorrected formation energy is -600.7 meV/atom. The calculation puts the spin magnetization at 0.00 μB/f.u.

---

# 9
VASP calculation (PBE-GGA) on a geometry-optimized Ca2ScGa2Pd5 structure.

Cell lengths 9.945, 9.945, 3.761 Å; angles 90.00, 90.00, 90.00 degrees
Sites, in units of the cell vectors:
Ca 0.174 0.326 0.000
Ca 0.326 0.826 0.000
Ca 0.674 0.174 0.000
Ca 0.826 0.674 0.000
Sc 0.000 0.000 0.000
Sc 0.500 0.500 0.000
Ga 0.123 0.623 0.000
Ga 0.377 0.123 0.000
Ga 0.623 0.877 0.000
Ga 0.877 0.377 0.000
Pd 0.000 0.500 0.500
Pd 0.067 0.793 0.500
Pd 0.207 0.067 0.500
Pd 0.293 0.567 0.500
Pd 0.433 0.293 0.500
Pd 0.500 0.000 0.500
Pd 0.567 0.707 0.500
Pd 0.707 0.433 0.500
Pd 0.793 0.933 0.500
Pd 0.933 0.207 0.500

Results
For the formation energy, the calculation gives -732 kJ/mol of formula units. The calculation puts the spin magnetization at 0.00 μB/f.u.

---

# 10
VASP calculation (PBE-GGA) on a geometry-optimized CaScGa2Pd2 structure.

Cell lengths 4.439, 4.439, 6.952 Å; angles 90.00, 90.00, 120.00 degrees
Sites, in units of the cell vectors:
Ca 0.000 0.000 0.000
Sc 0.000 0.000 0.500
Ga 0.333 0.667 0.290
Ga 0.667 0.333 0.710
Pd 0.333 0.667 0.703
Pd 0.667 0.333 0.297

Results
For the formation energy, the calculation gives -453 kJ/mol of formula units. The calculation puts the spin magnetization at 0.00 μB/f.u.

---

# 11
VASP calculation (PBE-GGA) on a geometry-optimized CaScGaPd structure.

Cell lengths 4.889, 4.889, 4.889 Å; angles 60.00, 60.00, 60.00 degrees
Sites, in units of the cell vectors:
Ca 0.000 0.000 0.000
Sc 0.500 0.500 0.500
Ga 0.750 0.750 0.750
Pd 0.250 0.250 0.250

Results
For the formation energy, the calculation gives -222 kJ/mol of formula units. The calculation puts the spin magnetization at 0.00 μB/f.u.

---

# 12
VASP calculation (PBE-GGA) on a geometry-optimized CaSc2GaPd4 structure.

Cell lengths 8.435, 8.435, 8.435 Å; angles 31.80, 31.80, 31.80 degrees
Sites, in units of the cell vectors:
Ca 0.000 0.000 0.000
Sc 0.241 0.241 0.241
Sc 0.759 0.759 0.759
Ga 0.500 0.500 0.500
Pd 0.128 0.128 0.128
Pd 0.392 0.392 0.392
Pd 0.608 0.608 0.608
Pd 0.872 0.872 0.872

Results
For the formation energy, the calculation gives -592 kJ/mol of formula units. The calculation puts the spin magnetization at 0.00 μB/f.u.

---

# 13
VASP calculation (PBE-GGA) on a geometry-optimized CaGa2PdSe structure.

Cell lengths 5.262, 5.262, 4.738 Å; angles 90.00, 90.00, 90.00 degrees
Sites, in units of the cell vectors:
Ca 0.000 0.000 0.000
Ga 0.000 0.500 0.500
Ga 0.500 0.000 0.500
Pd 0.500 0.500 0.000
Se 0.500 0.500 0.500

Results
The uncorrected formation energy is -16.2 meV/atom. The calculation puts the spin magnetization at 0.00 μB/f.u.

---

# 14
VASP calculation (PBE-GGA) on a geometry-optimized Ca3Ga2SiPd9 structure.

Cell lengths 6.612, 6.612, 8.229 Å; angles 90.00, 90.00, 120.00 degrees
Sites, in units of the cell vectors:
Ca 0.000 0.000 0.000
Ca 0.333 0.667 0.683
Ca 0.667 0.333 0.317
Ga 0.333 0.667 0.190
Ga 0.667 0.333 0.810
Si 0.000 0.000 0.500
Pd 0.000 0.500 0.000
Pd 0.140 0.280 0.292
Pd 0.140 0.860 0.292
Pd 0.280 0.140 0.708
Pd 0.500 0.000 0.000
Pd 0.500 0.500 0.000
Pd 0.720 0.860 0.292
Pd 0.860 0.140 0.708
Pd 0.860 0.720 0.708

Results
The uncorrected formation energy is -507.1 meV/atom. The calculation puts the spin magnetization at 0.00 μB/f.u.

---

# 15
VASP calculation (PBE-GGA) on a geometry-optimized Ca2GaSi4Pd3 structure.

Cell lengths 4.127, 4.127, 10.503 Å; angles 90.00, 90.00, 90.00 degrees
Sites, in units of the cell vectors:
Ca 0.000 0.500 0.249
Ca 0.500 0.000 0.751
Ga 0.000 0.000 0.500
Si 0.000 0.000 0.000
Si 0.000 0.500 0.642
Si 0.500 0.000 0.358
Si 0.500 0.500 0.000
Pd 0.000 0.500 0.873
Pd 0.500 0.000 0.127
Pd 0.500 0.500 0.500

Results
The uncorrected formation energy is -645.9 meV/atom. The calculation puts the spin magnetization at 0.00 μB/f.u.

---

# 16
VASP calculation (PBE-GGA) on a geometry-optimized Ca2GaSi3Pd4 structure.

Cell lengths 4.185, 4.185, 10.317 Å; angles 90.00, 90.00, 90.00 degrees
Sites, in units of the cell vectors:
Ca 0.000 0.500 0.250
Ca 0.500 0.000 0.750
Ga 0.000 0.000 0.500
Si 0.000 0.500 0.872
Si 0.500 0.000 0.128
Si 0.500 0.500 0.500
Pd 0.000 0.000 0.000
Pd 0.000 0.500 0.638
Pd 0.500 0.000 0.362
Pd 0.500 0.500 0.000

Results
The uncorrected formation energy is -749.5 meV/atom. The calculation puts the spin magnetization at 0.00 μB/f.u.

---

# 17
VASP calculation (PBE-GGA) on a geometry-optimized Ca2Ga4SiPd3 structure.

Cell lengths 4.131, 4.131, 11.177 Å; angles 90.00, 90.00, 90.00 degrees
Sites, in units of the cell vectors:
Ca 0.000 0.500 0.249
Ca 0.500 0.000 0.751
Ga 0.000 0.000 0.500
Ga 0.000 0.500 0.862
Ga 0.500 0.000 0.138
Ga 0.500 0.500 0.500
Si 0.500 0.500 0.000
Pd 0.000 0.000 0.000
Pd 0.000 0.500 0.638
Pd 0.500 0.000 0.362

Results
The uncorrected formation energy is -627.6 meV/atom. The calculation puts the spin magnetization at 0.00 μB/f.u.

---

# 18
VASP calculation (PBE-GGA) on a geometry-optimized CaGa2SiPd structure.

Cell lengths 6.142, 6.142, 6.142 Å; angles 141.03, 139.86, 57.18 degrees
Sites, in units of the cell vectors:
Ca 0.000 0.000 0.000
Ga 0.387 0.387 0.000
Ga 0.748 0.248 0.500
Si 0.613 0.613 0.000
Pd 0.237 0.737 0.500

Results
The uncorrected formation energy is -565.0 meV/atom. The calculation puts the spin magnetization at 0.00 μB/f.u.

---

# 19
VASP calculation (PBE-GGA) on a geometry-optimized CaSmGa2Pd5 structure.

Cell lengths 4.271, 4.271, 9.124 Å; angles 90.00, 90.00, 90.00 degrees
Sites, in units of the cell vectors:
Ca 0.000 0.000 0.000
Sm 0.000 0.000 0.500
Ga 0.500 0.500 0.361
Ga 0.500 0.500 0.639
Pd 0.000 0.500 0.225
Pd 0.000 0.500 0.775
Pd 0.500 0.000 0.225
Pd 0.500 0.000 0.775
Pd 0.500 0.500 0.000

Results
For the formation energy, the calculation gives -617 kJ/mol of formula units. The calculation puts the spin magnetization at 0.00 μB/f.u.

---

# 20
VASP calculation (PBE-GGA) on a geometry-optimized CaGaSnPd2 structure.

Cell lengths 5.013, 5.013, 5.776 Å; angles 90.00, 90.00, 90.00 degrees
Sites, in units of the cell vectors:
Ca 0.000 0.000 0.000
Ga 0.500 0.500 0.000
Sn 0.000 0.000 0.500
Pd 0.000 0.500 0.500
Pd 0.500 0.000 0.500

Results
For the formation energy, the calculation gives 118 kJ/mol of formula units. The calculation puts the spin magnetization at 0.00 μB/f.u.